Record 1
{"formula": "KLa2Ta", "functional": "PBE", "state": "relaxed", "lattice_angstrom": [[3.294, 0.056, 0.000], [-1.461, 2.952, 0.000], [0.000, 0.000, 12.844]], "species": ["K", "La", "La", "Ta"], "frac_coords": [[0.500, 0.500, 0.722], [0.000, 0.000, 0.022], [0.500, 0.500, 0.281], [0.000, 0.000, 0.474]], "dos_ef_per_ev_cell": 5.86, "rho_g_cm3": 6.6, "ef_mev_per_atom": 741, "de_polymorph_ev_per_atom": 0.3199, "total_magnetization_mub_per_cell": 0.00, "spacegroup": "Cmm2, No. 35", "final_energy_ev_per_atom": -4.960, "vol_a3_per_fu": 126.0}

=====

Record 2
{"formula": "Re2RhPb", "functional": "PBE", "state": "relaxed", "lattice_angstrom": [[-0.843, -1.443, 2.736], [-2.601, -2.673, -2.211], [3.669, -3.137, -0.524]], "species": ["Re", "Re", "Rh", "Pb"], "frac_coords": [[0.000, 0.000, 0.000], [0.500, 0.500, 0.000], [0.500, 0.000, 0.500], [0.000, 0.500, 0.500]], "dos_ef_per_ev_cell": 3.51, "rho_g_cm3": 16.8, "ef_mev_per_atom": 709, "total_magnetization_mub_per_cell": 0.00, "spacegroup": "Pmmm, No. 47", "final_energy_ev_per_atom": -8.280, "vol_a3_per_fu": 67.5}

=====

Record 3
{"formula": "AcTb7Sm3", "functional": "PBE", "state": "relaxed", "lattice_angstrom": [[-2.764, 1.345, -5.795], [1.089, -7.117, -2.764], [-6.786, -3.109, 1.926]], "species": ["Ac", "Tb", "Tb", "Tb", "Tb", "Tb", "Tb", "Tb", "Sm", "Sm", "Sm"], "frac_coords": [[0.500, 0.500, 0.500], [0.800, 0.234, 0.234], [0.741, 0.922, 0.575], [0.259, 0.425, 0.078], [0.741, 0.575, 0.922], [0.000, 0.500, 0.500], [0.259, 0.078, 0.425], [0.200, 0.766, 0.766], [0.000, 0.826, 0.174], [0.500, 0.000, 0.000], [0.000, 0.174, 0.826]], "dos_ef_per_ev_cell": 16.19, "rho_g_cm3": 7.8, "ef_mev_per_atom": 219, "de_polymorph_ev_per_atom": 0.0188, "total_magnetization_mub_per_cell": 0.00, "spacegroup": "C2/m, No. 12", "final_energy_ev_per_atom": -4.388, "vol_a3_per_fu": 383.6}

=====

Record 4
{"formula": "BPtI3", "functional": "PBE", "state": "relaxed", "lattice_angstrom": [[-3.274, -1.310, -3.549], [-1.339, -3.988, 2.708], [-3.538, 2.722, 2.259]], "species": ["I", "I", "I", "B", "Pt"], "frac_coords": [[0.000, 0.500, 0.000], [0.000, 0.000, 0.500], [0.500, 0.000, 0.000], [0.000, 0.000, 0.000], [0.500, 0.500, 0.500]], "dos_ef_per_ev_cell": 6.91, "rho_g_cm3": 7.8, "de_polymorph_ev_per_atom": 0.2326, "total_magnetization_mub_per_cell": 0.62, "raw_formation_energy_ev_per_fu": 6.22, "spacegroup": "Pm-3m, No. 221", "final_energy_ev_per_atom": -2.229, "vol_a3_per_fu": 125.2}

=====

Record 5
{"formula": "ErCdHg5", "functional": "PBE", "state": "relaxed", "lattice_angstrom": [[4.892, 0.000, 0.000], [0.000, 4.892, 0.000], [0.000, 0.000, 7.334]], "species": ["Er", "Cd", "Hg", "Hg", "Hg", "Hg", "Hg"], "frac_coords": [[0.000, 0.000, 0.000], [0.000, 0.000, 0.500], [0.500, 0.500, 0.000], [0.500, 0.000, 0.275], [0.000, 0.500, 0.275], [0.500, 0.000, 0.725], [0.000, 0.500, 0.725]], "dos_ef_per_ev_cell": 3.92, "rho_g_cm3": 12.1, "ef_mev_per_atom": -173, "total_magnetization_mub_per_cell": 0.00, "spacegroup": "P4/mmm, No. 123", "final_energy_ev_per_atom": -1.171, "vol_a3_per_fu": 175.5}

=====

Record 6
{"formula": "PrMgIn3", "functional": "PBE", "state": "relaxed", "lattice_angstrom": [[4.639, 0.000, 0.000], [0.000, 7.425, 0.000], [0.000, 0.000, 7.877]], "species": ["Pr", "Pr", "Mg", "Mg", "In", "In", "In", "In", "In", "In"], "frac_coords": [[0.500, 0.000, 0.183], [0.000, 0.500, 0.817], [0.000, 0.000, 0.525], [0.500, 0.500, 0.475], [0.000, 0.699, 0.285], [0.500, 0.801, 0.715], [0.500, 0.199, 0.715], [0.000, 0.301, 0.285], [0.000, 0.000, 0.901], [0.500, 0.500, 0.099]], "dos_ef_per_ev_cell": 3.12, "rho_g_cm3": 6.2, "ef_mev_per_atom": -256, "de_polymorph_ev_per_atom": 0.0000, "total_magnetization_mub_per_cell": 0.00, "spacegroup": "Pmmn, No. 59", "final_energy_ev_per_atom": -3.174, "vol_a3_per_fu": 135.7}

=====

Record 7
{"formula": "TlSiTc2", "functional": "PBE", "state": "relaxed", "lattice_angstrom": [[5.712, 0.013, -0.001], [3.327, 4.643, 0.001], [-4.174, -2.999, 2.492]], "species": ["Si", "Tc", "Tc", "Tl"], "frac_coords": [[0.220, 0.720, 0.500], [0.034, 0.034, 0.000], [0.775, 0.275, 0.500], [0.470, 0.470, 0.000]], "dos_ef_per_ev_cell": 2.45, "rho_g_cm3": 10.8, "de_polymorph_ev_per_atom": 0.2493, "total_magnetization_mub_per_cell": 0.00, "raw_formation_energy_ev_per_fu": 1.54, "spacegroup": "Imm2, No. 44", "final_energy_ev_per_atom": -6.745, "vol_a3_per_fu": 66.0}

=====

Record 8
{"formula": "SrPbW4", "functional": "PBE", "state": "relaxed", "lattice_angstrom": [[-3.043, -4.567, 0.974], [-4.478, -1.087, -3.136], [0.095, -4.237, -3.621]], "species": ["Sr", "Pb", "W", "W", "W", "W"], "frac_coords": [[0.000, 0.000, 0.000], [0.750, 0.750, 0.750], [0.878, 0.374, 0.374], [0.374, 0.374, 0.878], [0.374, 0.878, 0.374], [0.374, 0.374, 0.374]], "dos_ef_per_ev_cell": 5.05, "rho_g_cm3": 14.0, "ef_mev_per_atom": 837, "total_magnetization_mub_per_cell": 0.00, "spacegroup": "F-43m, No. 216", "final_energy_ev_per_atom": -8.697, "vol_a3_per_fu": 122.5}

=====

Record 9
{"formula": "ZrCu6", "functional": "PBE", "state": "relaxed", "lattice_angstrom": [[5.474, 0.000, 0.000], [0.000, 5.474, 0.000], [0.000, 0.000, 5.474]], "species": ["Zr", "Cu", "Cu", "Cu", "Cu", "Cu", "Cu"], "frac_coords": [[0.000, 0.000, 0.000], [0.198, 0.500, 0.500], [0.500, 0.500, 0.802], [0.500, 0.500, 0.198], [0.500, 0.198, 0.500], [0.500, 0.802, 0.500], [0.802, 0.500, 0.500]], "dos_ef_per_ev_cell": 9.50, "rho_g_cm3": 4.8, "ef_mev_per_atom": 1261, "de_polymorph_ev_per_atom": 1.3174, "total_magnetization_mub_per_cell": 2.63, "spacegroup": "Pm-3m, No. 221", "final_energy_ev_per_atom": -3.471, "vol_a3_per_fu": 164.0}

=====

Record 10
{"formula": "Co2ReMo", "functional": "PBE", "state": "relaxed", "lattice_angstrom": [[4.230, 0.000, 0.000], [0.000, 2.634, 0.001], [0.000, -0.003, 4.580]], "species": ["Re", "Mo", "Co", "Co"], "frac_coords": [[0.500, 0.625, 0.806], [0.000, 0.625, 0.448], [0.000, 0.125, 0.959], [0.500, 0.125, 0.287]], "dos_ef_per_ev_cell": 2.47, "rho_g_cm3": 13.0, "ef_mev_per_atom": -42, "de_polymorph_ev_per_atom": 0.0000, "total_magnetization_mub_per_cell": 0.00, "spacegroup": "Pmm2, No. 25", "final_energy_ev_per_atom": -9.415, "vol_a3_per_fu": 51.0}

=====

Record 11
{"formula": "CdP2Au", "functional": "PBE", "state": "relaxed", "lattice_angstrom": [[-3.417, 0.763, -2.025], [-2.011, -1.085, 2.985], [0.026, 4.535, 1.665]], "species": ["Au", "Cd", "P", "P"], "frac_coords": [[0.500, 0.000, 0.500], [0.000, 0.500, 0.500], [0.000, 0.000, 0.000], [0.500, 0.500, 0.000]], "dos_ef_per_ev_cell": 1.44, "rho_g_cm3": 8.4, "ef_mev_per_atom": 483, "total_magnetization_mub_per_cell": 0.00, "spacegroup": "Pmmm, No. 47", "final_energy_ev_per_atom": -3.271, "vol_a3_per_fu": 73.5}

=====

Record 12
{"formula": "Ni2SbWBr", "functional": "PBE", "state": "relaxed", "lattice_angstrom": [[-3.473, 0.021, -2.486], [3.400, -0.474, -4.753], [-0.218, -4.257, 0.268]], "species": ["Sb", "Br", "W", "Ni", "Ni"], "frac_coords": [[0.000, 0.500, 0.000], [0.000, 0.000, 0.000], [0.500, 0.500, 0.500], [0.000, 0.000, 0.500], [0.500, 0.000, 0.000]], "dos_ef_per_ev_cell": 4.50, "rho_g_cm3": 7.8, "total_magnetization_mub_per_cell": 3.45, "raw_formation_energy_ev_per_fu": 7.67, "spacegroup": "P4/mmm, No. 123", "final_energy_ev_per_atom": -4.528, "vol_a3_per_fu": 106.9}